# Li2PmTmTe4

A relaxed structure of Li2PmTmTe4 (PBE-GGA, Alexandria).

Lattice parameters (Å, degrees): 7.4989 4.3707 7.5678 90.00 109.58 90.00
Last column: nearest neighbours and their distance in Å.
Space group P2/m (No. 10)
Asymmetric unit:
Li 0.0000 0.0000 0.0000 [1 per cell]  6 Te 3.01-3.02
Li 0.0000 0.5000 0.5000 [1 per cell]  6 Te 3.09
Pm 0.5000 0.0000 0.5000 [1 per cell]  6 Te 3.14-3.15
Tm 0.5000 0.5000 0.0000 [1 per cell]  6 Te 3.07
Te 0.2412 0.5000 0.2395 [2 per cell]  3 Li 3.02-3.09, 1 Tm 3.07, 2 Pm 3.14
Te 0.2456 0.0000 0.7567 [2 per cell]  3 Li 3.01-3.09, 2 Tm 3.07, 1 Pm 3.15

mass density = 6.0 g/cm³
formation energy (no corrections) = -1.282 eV per atom